Material: SiAsIr2
Method: DFT, PBE
State: optimized geometry

Values from the calculation:
* E_form (uncorrected): -0.2058 eV per atom
* final energy: -7.15 eV per atom

Structure (POSCAR):
```
SiAsIr2
1.0
-7.038 3.352 -2.354
-7.962 0.709 -1.556
-7.634 2.800 0.442
Si Ir As
1 2 1
direct
0.250 0.250 0.250
0.506 0.506 0.506
0.994 0.994 0.994
0.750 0.750 0.750
```